No. 1
{"formula": "Y2MnGe", "functional": "GGA-PBE", "state": "relaxed", "lattice_angstrom": [[5.761, -0.035, 0.011], [1.511, 5.613, -0.005], [1.782, 0.058, 5.558]], "species": ["Mn", "Mn", "Y", "Y", "Y", "Y", "Ge", "Ge"], "frac_coords": [[0.113, 0.575, 0.866], [0.887, 0.425, 0.134], [0.709, 0.438, 0.692], [0.291, 0.562, 0.308], [0.276, 0.045, 0.799], [0.724, 0.955, 0.201], [0.146, 0.103, 0.327], [0.854, 0.897, 0.673]], "total_magnetization_mub_per_atom": 0.257, "formation_enthalpy_0k_ev_per_atom": -0.3444}



No. 2
{"formula": "CoIrOs", "functional": "GGA-PBE", "state": "relaxed", "lattice_angstrom": [[-2.083, -1.524, -0.820], [0.963, -2.086, 1.432], [-5.815, 3.275, 8.684]], "species": ["Os", "Os", "Ir", "Ir", "Co", "Co"], "frac_coords": [[0.523, 0.392, 0.424], [0.023, 0.892, 0.247], [0.523, 0.392, 0.072], [0.023, 0.892, 0.600], [0.523, 0.392, 0.765], [0.023, 0.892, 0.907]], "polymorph_energy_mev_per_atom": 27, "total_magnetization_mub_per_atom": 0.589, "formation_enthalpy_0k_ev_per_atom": 0.0643}



No. 3
{"formula": "VPd3", "functional": "GGA-PBE", "state": "relaxed", "lattice_angstrom": [[5.517, 0.000, 0.000], [-2.758, 4.778, 0.000], [0.000, 0.000, 4.489]], "species": ["V", "V", "Pd", "Pd", "Pd", "Pd", "Pd", "Pd"], "frac_coords": [[0.667, 0.333, 0.250], [0.333, 0.667, 0.750], [0.831, 0.661, 0.750], [0.169, 0.339, 0.250], [0.831, 0.169, 0.750], [0.661, 0.831, 0.250], [0.339, 0.169, 0.750], [0.169, 0.831, 0.250]], "total_magnetization_mub_per_atom": 0.288, "formation_enthalpy_0k_ev_per_atom": -0.2434}



No. 4
{"formula": "HoSc3", "functional": "GGA-PBE", "state": "relaxed", "lattice_angstrom": [[4.719, 0.000, 0.000], [0.000, 4.719, 0.000], [-2.360, -2.360, 4.674]], "species": ["Sc", "Sc", "Sc", "Ho"], "frac_coords": [[0.750, 0.250, 0.500], [0.500, 0.500, 0.000], [0.250, 0.750, 0.500], [0.000, 0.000, 0.000]], "polymorph_energy_mev_per_atom": 36, "total_magnetization_mub_per_atom": 0.000, "formation_enthalpy_0k_ev_per_atom": 0.0551}